No. 1
Below is a geometry-optimized Ba2PbO2F2 structure, with properties calculated at the PBE level.

Geometry as extended XYZ:
```
7
Lattice="4.758 0.000 0.000 0.000 4.758 0.000 -2.379 -2.379 6.940" Properties=species:S:1:pos:R:3 pbc="T T T"
F 2.379 2.379 4.231
F 0.000 0.000 2.709
Pb 0.000 0.000 0.000
O 0.000 2.379 0.000
O 2.379 0.000 0.000
Ba 0.000 0.000 5.227
Ba 2.379 2.379 1.713
```

- electronic total energy (eV per atom) = -5.46
- total magnetic moment (μB/f.u.) = 0.0
- energy relative to the elements, uncorrected (meV/atom) = -2434

***

No. 2
Below is a geometry-optimized BaPb2OF structure, with properties calculated at the PBE level.

Geometry as extended XYZ:
```
5
Lattice="-4.085 -2.276 -0.139 1.120 -2.404 6.457 -2.153 3.756 1.772" Properties=species:S:1:pos:R:3 pbc="T T T"
O 0.000 0.000 0.000
F 0.560 -1.202 3.228
Ba -2.559 -0.462 4.045
Pb -2.042 -1.138 -0.070
Pb -1.077 1.878 0.886
```

- electronic total energy (eV per atom) = -4.26
- total magnetic moment (μB/f.u.) = 0.0
- energy relative to the elements, uncorrected (meV/atom) = -1030

***

No. 3
Below is a geometry-optimized Ba2PdO2F2 structure, with properties calculated at the PBE level.

Geometry as extended XYZ:
```
7
Lattice="7.698 -0.007 0.000 5.382 5.504 0.000 -6.540 -2.749 2.989" Properties=species:S:1:pos:R:3 pbc="T T T"
Pd 0.000 0.000 0.000
O -0.579 1.378 1.494
O 0.579 -1.378 1.494
F 3.849 -0.003 1.494
F 2.691 2.752 1.494
Ba 4.774 2.007 0.000
Ba 8.305 3.491 0.000
```

- electronic total energy (eV per atom) = -5.74
- total magnetic moment (μB/f.u.) = 0.1
- energy relative to the elements, uncorrected (meV/atom) = -2498